First-principles (PBE) data for La3Pr2ScTe6 after structural relaxation, as listed in Alexandria.

Lattice parameters (Å, degrees): 10.029 10.029 9.023 102.27 102.27 25.88
Fractional positions:
La: 0.000 0.000 0.000
La: 0.326 0.326 0.664
La: 0.674 0.674 0.336
Pr: 0.332 0.332 0.166
Pr: 0.668 0.668 0.834
Sc: 0.000 0.000 0.500
Te: 0.156 0.156 0.579
Te: 0.166 0.166 0.082
Te: 0.498 0.498 0.729
Te: 0.502 0.502 0.271
Te: 0.834 0.834 0.918
Te: 0.844 0.844 0.421

SG = C2/m (12)
formation energy (no corrections) = -1.45 eV per atom
volume = 386.5 Å³/cell



First-principles (PBE) data for La4Pr3ScTe8 after structural relaxation, as listed in Alexandria.

Lattice parameters (Å, degrees): 9.004 9.004 9.004 60.48 60.48 60.48
Fractional positions:
La: 0.000 0.000 0.000
La: 0.000 0.500 0.500
La: 0.500 0.000 0.500
La: 0.500 0.500 0.000
Pr: 0.000 0.000 0.500
Pr: 0.000 0.500 0.000
Pr: 0.500 0.000 0.000
Sc: 0.500 0.500 0.500
Te: 0.249 0.249 0.249
Te: 0.259 0.739 0.739
Te: 0.261 0.261 0.741
Te: 0.261 0.741 0.261
Te: 0.739 0.259 0.739
Te: 0.739 0.739 0.259
Te: 0.741 0.261 0.261
Te: 0.751 0.751 0.751

SG = R-3m (166)
formation energy (no corrections) = -1.46 eV per atom
volume = 521.7 Å³/cell



First-principles (PBE) data for La2Pr3ScTe6 after structural relaxation, as listed in Alexandria.

Lattice parameters (Å, degrees): 10.038 10.038 9.037 102.97 102.97 25.74
Fractional positions:
La: 0.166 0.166 0.333
La: 0.834 0.834 0.667
Pr: 0.174 0.174 0.838
Pr: 0.500 0.500 0.500
Pr: 0.826 0.826 0.162
Sc: 0.500 0.500 0.000
Te: 0.004 0.004 0.771
Te: 0.334 0.334 0.415
Te: 0.344 0.344 0.924
Te: 0.656 0.656 0.076
Te: 0.666 0.666 0.585
Te: 0.996 0.996 0.229

SG = C2/m (12)
formation energy (no corrections) = -1.42 eV per atom
volume = 384.9 Å³/cell



First-principles (PBE) data for La2PrScTl2 after structural relaxation, as listed in Alexandria.

Lattice parameters (Å, degrees): 5.079 10.106 7.177 90.00 90.00 90.00
Fractional positions:
La: 0.000 0.062 0.000
La: 0.000 0.938 0.500
La: 0.500 0.174 0.253
La: 0.500 0.826 0.753
Pr: 0.500 0.454 0.899
Pr: 0.500 0.546 0.399
Sc: 0.000 0.305 0.593
Sc: 0.000 0.695 0.093
Tl: 0.000 0.391 0.175
Tl: 0.000 0.609 0.675
Tl: 0.500 0.156 0.714
Tl: 0.500 0.844 0.214

energy relative to the elements = -1.61 eV/f.u.
SG = Pmc2_1 (26)
volume = 368.4 Å³/cell



First-principles (PBE) data for LaPrScTl after structural relaxation, as listed in Alexandria.

Lattice parameters (Å, degrees): 5.565 5.565 5.565 60.00 60.00 60.00
Fractional positions:
La: 0.000 0.000 0.000
Pr: 0.500 0.500 0.500
Sc: 0.750 0.750 0.750
Tl: 0.250 0.250 0.250

energy relative to the elements = -0.37 eV/f.u.
SG = F-43m (216)
volume = 121.8 Å³/cell



First-principles (PBE) data for La4Pr2TmSc after structural relaxation, as listed in Alexandria.

Lattice parameters (Å, degrees): 5.137 5.202 10.215 90.00 90.01 90.00
Fractional positions:
La: 0.000 0.000 0.247
La: 0.000 0.000 0.753
La: 0.499 0.500 0.754
La: 0.501 0.500 0.246
Pr: 0.000 0.500 0.500
Pr: 0.500 0.000 0.000
Tm: 0.500 0.000 0.500
Sc: 0.000 0.500 0.000

energy relative to the elements = 0.15 eV/f.u.
SG = P2/m (10)
volume = 273.0 Å³/cell